# 1
{
  "formula": "AcAlPb2",
  "functional": "PBE-GGA",
  "state": "relaxed",
  "lattice": [[5.080, 0.000, 0.000], [-2.540, 4.399, 0.000], [0.000, 0.000, 16.738]],
  "species": ["Ac", "Ac", "Ac", "Al", "Al", "Al", "Pb", "Pb", "Pb", "Pb", "Pb", "Pb"],
  "fractional_positions": [[0.000, 0.000, 0.000], [0.333, 0.667, 0.667], [0.667, 0.333, 0.333], [0.000, 0.000, 0.500], [0.333, 0.667, 0.167], [0.667, 0.333, 0.833], [0.000, 0.000, 0.219], [0.000, 0.000, 0.781], [0.333, 0.667, 0.447], [0.333, 0.667, 0.886], [0.667, 0.333, 0.114], [0.667, 0.333, 0.553]],
  "crystal_system": "trigonal",
  "dos_at_fermi_per_ev_cell": 7.42,
  "spacegroup": "R-3m",
  "ef_ev_per_atom": -0.141,
  "polymorph_energy_mev_per_atom": 132.1
}

# 2
{
  "formula": "Zr3Zn",
  "functional": "PBE-GGA",
  "state": "relaxed",
  "lattice": [[4.291, 0.000, 0.000], [0.000, 4.302, 0.000], [0.000, 0.000, 9.011]],
  "species": ["Zr", "Zr", "Zr", "Zr", "Zr", "Zr", "Zn", "Zn"],
  "fractional_positions": [[0.000, 0.000, 0.000], [0.000, 0.500, 0.250], [0.000, 0.500, 0.750], [0.500, 0.000, 0.250], [0.500, 0.000, 0.750], [0.500, 0.500, 0.500], [0.000, 0.000, 0.500], [0.500, 0.500, 0.000]],
  "crystal_system": "orthorhombic",
  "dos_at_fermi_per_ev_cell": 6.08,
  "spacegroup": "Immm",
  "ef_ev_per_atom": -0.122
}

# 3
{
  "formula": "YThZnRh",
  "functional": "PBE-GGA",
  "state": "relaxed",
  "lattice": [[7.139, 0.000, 0.000], [0.000, 7.139, 0.000], [0.000, 0.000, 7.139]],
  "species": ["Y", "Y", "Y", "Y", "Th", "Th", "Th", "Th", "Zn", "Zn", "Zn", "Zn", "Rh", "Rh", "Rh", "Rh"],
  "fractional_positions": [[0.000, 0.000, 0.000], [0.000, 0.500, 0.500], [0.500, 0.000, 0.500], [0.500, 0.500, 0.000], [0.000, 0.000, 0.500], [0.000, 0.500, 0.000], [0.500, 0.000, 0.000], [0.500, 0.500, 0.500], [0.250, 0.250, 0.250], [0.250, 0.750, 0.750], [0.750, 0.250, 0.750], [0.750, 0.750, 0.250], [0.250, 0.250, 0.750], [0.250, 0.750, 0.250], [0.750, 0.250, 0.250], [0.750, 0.750, 0.750]],
  "crystal_system": "cubic",
  "dos_at_fermi_per_ev_cell": 15.21,
  "spacegroup": "F-43m",
  "ef_ev_per_atom": -0.492
}